# 1
Here is BaTh2USe8 after structural relaxation from Alexandria. Energies are from GGA-PBE.

energy relative to the elements, uncorrected = -134.6 kJ per mole of atoms
space-group type = P-1 (2)
uncorrected energy = -6.06 eV/atom

POSCAR file:
```
BaTh2USe8
1.0
6.601 0.000 0.000
0.019 6.872 0.000
0.012 0.003 8.932
Ba Th U Se
1 2 1 8
Direct
0.000 0.000 0.000 Ba
0.500 0.500 0.249 Th
0.500 0.500 0.751 Th
0.000 0.000 0.500 U
0.244 0.845 0.706 Se
0.245 0.846 0.293 Se
0.258 0.325 0.500 Se
0.258 0.390 0.000 Se
0.742 0.610 0.000 Se
0.742 0.675 0.500 Se
0.755 0.154 0.707 Se
0.756 0.155 0.294 Se
```

# 2
Here is Ba2ThUSe6 after structural relaxation from Alexandria. Energies are from GGA-PBE.

energy relative to the elements, uncorrected = -164.4 kJ per mole of atoms
space-group type = P2_1/c (14)
uncorrected energy = -6.05 eV/atom

POSCAR file:
```
Ba2ThUSe6
1.0
7.556 0.000 0.000
0.000 8.005 0.000
-7.516 0.000 10.969
Ba Th U Se
4 2 2 12
Direct
0.226 0.074 0.250 Ba
0.226 0.426 0.750 Ba
0.774 0.574 0.250 Ba
0.774 0.926 0.750 Ba
0.500 0.000 0.000 Th
0.500 0.500 0.500 Th
0.000 0.000 0.500 U
0.000 0.500 0.000 U
0.139 0.202 0.948 Se
0.139 0.298 0.448 Se
0.249 0.697 0.948 Se
0.249 0.803 0.448 Se
0.345 0.025 0.747 Se
0.345 0.475 0.247 Se
0.655 0.525 0.753 Se
0.655 0.975 0.253 Se
0.751 0.197 0.552 Se
0.751 0.303 0.052 Se
0.861 0.702 0.552 Se
0.861 0.798 0.052 Se
```

- What is the energy relative to the elements, uncorrected in the first record?
  -134.6 kJ per mole of atoms

- The highest uncorrected energy belongs to which entry?
  Ba2ThUSe6